(1)
Entry from Alexandria via LeMat-Bulk: a geometry-optimized Ba12Pd5Rh structure (PBE).

## Properties
Space-group type = C2/m (12)
Raw total energy = -63.37 eV per cell

```
Ba12Pd5Rh
1.0
4.0201 -6.9363 0.0000
4.0201 6.9363 0.0000
-2.8240 0.0000 14.8925
Ba Pd Rh
12 5 1
Direct
0.0406 0.7072 0.6170
0.1360 0.4594 0.8862
0.2176 0.2176 0.1140
0.2928 0.9594 0.3830
0.3733 0.3733 0.6153
0.4594 0.1360 0.8862
0.5406 0.8640 0.1138
0.6267 0.6267 0.3847
0.7072 0.0406 0.6170
0.7824 0.7824 0.8860
0.8640 0.5406 0.1138
0.9594 0.2928 0.3830
0.0000 0.0000 0.5000
0.1664 0.8336 0.0000
0.3328 0.6672 0.5000
0.6672 0.3328 0.5000
0.8336 0.1664 0.0000
0.5000 0.5000 0.0000
```



(2)
Entry from Alexandria via LeMat-Bulk: a geometry-optimized BaPdRh2 structure (PBE).

## Properties
Space-group type = I-42d (122)
Energy above the lowest structure with this stoichiometry = 0 meV per atom
Raw total energy = -42.13 eV per cell

```
BaPdRh2
1.0
-2.3450 2.3450 9.2224
2.3450 -2.3450 9.2224
2.3450 2.3450 -9.2224
Ba Pd Rh
2 2 4
Direct
0.0000 0.0000 0.0000
0.7500 0.2500 0.5000
0.2500 0.7500 0.5000
0.5000 0.5000 0.0000
0.2939 0.6250 0.1689
0.3750 0.5439 0.6689
0.4561 0.1250 0.8311
0.8750 0.7061 0.3311
```



(3)
Entry from Alexandria via LeMat-Bulk: a geometry-optimized BaPd3Rh structure (PBE).

## Properties
Space-group type = Pm-3m (221)
Energy above the lowest structure with this stoichiometry = 0 meV per atom
Raw total energy = -23.75 eV per cell

```
BaPd3Rh
1.0
4.9702 0.0000 0.0000
0.0000 4.9702 0.0000
0.0000 0.0000 4.9702
Ba Pd Rh
1 3 1
Direct
0.0000 0.0000 0.0000
0.0000 0.5000 0.5000
0.5000 0.0000 0.5000
0.5000 0.5000 0.0000
0.5000 0.5000 0.5000
```



(4)
Entry from Alexandria via LeMat-Bulk: a geometry-optimized BaPd2Rh2 structure (PBE).

## Properties
Space-group type = P4/mbm (127)
Energy above the lowest structure with this stoichiometry = 103 meV per atom
Raw total energy = -52.69 eV per cell

```
BaPd2Rh2
1.0
7.9830 0.0000 0.0000
0.0000 7.9830 0.0000
0.0000 0.0000 2.9483
Ba Pd Rh
2 4 4
Direct
0.0000 0.0000 0.0000
0.5000 0.5000 0.0000
0.1234 0.3766 0.0000
0.3766 0.8766 0.0000
0.6234 0.1234 0.0000
0.8766 0.6234 0.0000
0.1718 0.6718 0.5000
0.3282 0.1718 0.5000
0.6718 0.8282 0.5000
0.8282 0.3282 0.5000
```